Entry from the Alexandria database: an optimized crystal structure of MoRhSe2 (PBE).

```
MoRhSe2
1.0
-3.177 -2.904 -0.527
-0.455 -4.009 -1.588
0.638 -2.766 4.519
Se Mo Rh
2 1 1
Cartesian
0.545 -2.884 4.404
-1.404 -4.721 1.317
-2.245 -7.259 1.803
-0.748 -2.420 0.601
```

Computed properties:
energy relative to the elements, uncorrected	0.0162	eV per atom
volume	16.619	Å³/atom
distance to the lowest polymorph of the same formula	0.76	eV per formula unit